DFT (PBE) results for a geometry-optimized Ba2MgTl6In structure.

Results
**ΔE_f**: -0.19 eV/atom
**Fermi-level density of states**: 4.5 states/eV per cell
**Calculated volume**: 33.400 Å³ per atom

Lattice parameters (Å, degrees): 6.422 7.897 7.908 74.65 66.53 66.20
Space group P-1 (No. 2)
Inequivalent atoms, fractional coordinates:
Ba1 0.004 0.257 0.240
Mg1 0.500 0.000 0.500
Tl1 0.000 0.292 0.698
Tl2 0.332 0.927 0.918
Tl3 0.495 0.699 0.311
In1 0.500 0.500 0.000